1.
Material: SmAl2Ir2
Method: DFT, PBE
State: optimized geometry

Values from the calculation:
Electronic total energy   -6.8761 eV/atom

Lattice parameters (Å, degrees): 4.2596 4.2596 10.1937 90.00 90.00 90.00
With the nearest neighbours (Å) after each atom.
Element x y z (fractional)
Al (0.5000, 0.5000, 0.0000)  4 Ir 2.53
Al (0.5000, 0.0000, 0.6225)  5 Ir 2.47-2.49
Al (0.0000, 0.0000, 0.0000)  4 Ir 2.53
Al (0.0000, 0.5000, 0.3775)  5 Ir 2.47-2.49
Sm (0.5000, 0.0000, 0.2617)  8 Ir 3.23-3.28, 8 Al 3.24-3.41
Sm (0.0000, 0.5000, 0.7383)  8 Ir 3.23-3.28, 8 Al 3.24-3.41
Ir (0.0000, 0.0000, 0.5000)  4 Al 2.47
Ir (0.5000, 0.5000, 0.5000)  4 Al 2.47
Ir (0.5000, 0.0000, 0.8665)  5 Al 2.49-2.53
Ir (0.0000, 0.5000, 0.1335)  5 Al 2.49-2.53



2.
Material: Ba3TmRh2O9
Method: DFT, PBE
State: optimized geometry

Values from the calculation:
Formation energy from raw total energies   -2.057 eV/atom
Electronic total energy   -6.6946 eV/atom

Lattice parameters (Å, degrees): 5.8581 5.8581 7.1944 90.00 90.00 120.00
With the nearest neighbours (Å) after each atom.
Element x y z (fractional)
O (0.3498, 0.1749, 0.6775)  1 Rh 1.98, 1 Tm 2.19
O (0.8251, 0.1749, 0.6775)  1 Rh 1.98, 1 Tm 2.19
O (0.6502, 0.8251, 0.3225)  1 Rh 1.98, 1 Tm 2.19
O (0.0000, 0.5000, 0.0000)  2 Rh 2.05
O (0.5000, 0.5000, 0.0000)  2 Rh 2.05
O (0.8251, 0.6502, 0.6775)  1 Rh 1.98, 1 Tm 2.19
O (0.1749, 0.3498, 0.3225)  1 Rh 1.98, 1 Tm 2.19
O (0.5000, 0.0000, 0.0000)  2 Rh 2.05
O (0.1749, 0.8251, 0.3225)  1 Rh 1.98, 1 Tm 2.19
Ba (0.6667, 0.3333, 0.3254)  12 O 2.89-3.00
Ba (0.3333, 0.6667, 0.6746)  12 O 2.89-3.00
Ba (0.0000, 0.0000, 0.0000)  12 O 2.92-2.93
Tm (0.0000, 0.0000, 0.5000)  6 O 2.19
Rh (0.6667, 0.3333, 0.8378)  6 O 1.98-2.05
Rh (0.3333, 0.6667, 0.1622)  6 O 1.98-2.05



3.
Material: BiAsS2Cl
Method: DFT, PBE
State: optimized geometry

Values from the calculation:
Energy relative to the lowest polymorph listed for this composition   410 meV per atom
Formation energy from raw total energies   0.554 eV/atom
Electronic total energy   -3.1723 eV/atom

Lattice parameters (Å, degrees): 5.3395 5.3395 5.2410 90.00 90.00 90.00
With the nearest neighbours (Å) after each atom.
Element x y z (fractional)
S (0.0000, 0.5000, 0.0000)  2 Bi 2.67
S (0.5000, 0.0000, 0.0000)  2 Bi 2.67
Cl (0.0000, 0.0000, 0.5000)  2 Bi 2.62
As (0.5000, 0.5000, 0.5000)  8 S 3.74, 4 Cl 3.78
Bi (0.0000, 0.0000, 0.0000)  2 Cl 2.62, 4 S 2.67



4.
Material: ZnP3Cl
Method: DFT, PBE
State: optimized geometry

Values from the calculation:
Energy relative to the lowest polymorph listed for this composition   0 meV per atom
Formation energy from raw total energies   1.083 eV/atom
Electronic total energy   -2.7873 eV/atom

Lattice parameters (Å, degrees): 4.6874 4.6874 4.6874 90.00 90.00 90.00
With the nearest neighbours (Å) after each atom.
Element x y z (fractional)
P (0.0000, 0.0000, 0.5000)  2 Zn 2.34
P (0.0000, 0.5000, 0.0000)  2 Zn 2.34
P (0.5000, 0.0000, 0.0000)  2 Zn 2.34
Cl (0.5000, 0.5000, 0.5000)  12 P 3.31
Zn (0.0000, 0.0000, 0.0000)  6 P 2.34



5.
Material: Ho2Al3Pt4
Method: DFT, PBE
State: optimized geometry

Values from the calculation:
Electronic total energy   -6.1436 eV/atom

Lattice parameters (Å, degrees): 5.5844 7.5671 8.1207 90.00 110.11 90.00
With the nearest neighbours (Å) after each atom.
Element x y z (fractional)
Pt (0.3180, 0.4720, 0.6359)  5 Al 2.57-2.78
Pt (0.3101, 0.2500, 0.1202)  3 Al 2.52-2.57, 2 Pt 2.79
Pt (0.8180, 0.0280, 0.6359)  5 Al 2.57-2.78
Pt (0.6899, 0.7500, 0.8798)  3 Al 2.52-2.57, 2 Pt 2.79
Pt (0.8101, 0.2500, 0.1202)  3 Al 2.52-2.57, 2 Pt 2.79
Pt (0.1899, 0.7500, 0.8798)  3 Al 2.52-2.57, 2 Pt 2.79
Pt (0.1820, 0.9720, 0.3641)  5 Al 2.57-2.78
Pt (0.6820, 0.5280, 0.3641)  5 Al 2.57-2.78
Ho (0.1055, 0.5927, 0.2110)  8 Pt 3.03-3.37, 4 Al 3.12-3.30
Ho (0.6055, 0.9073, 0.2110)  8 Pt 3.03-3.37, 4 Al 3.12-3.30
Ho (0.8945, 0.4073, 0.7890)  8 Pt 3.03-3.37, 4 Al 3.12-3.30
Ho (0.3945, 0.0927, 0.7890)  8 Pt 3.03-3.37, 4 Al 3.12-3.30
Al (0.5000, 0.5000, 0.0000)  6 Pt 2.52-2.78
Al (0.0000, 0.0000, 0.0000)  6 Pt 2.52-2.78
Al (0.0213, 0.7500, 0.5427)  5 Pt 2.57-2.62, 2 Al 2.79
Al (0.4787, 0.2500, 0.4573)  5 Pt 2.57-2.62, 2 Al 2.79
Al (0.5213, 0.7500, 0.5427)  5 Pt 2.57-2.62, 2 Al 2.79
Al (0.9787, 0.2500, 0.4573)  5 Pt 2.57-2.62, 2 Al 2.79



6.
Material: Ca2AcPm2
Method: DFT, PBE
State: optimized geometry

Values from the calculation:
Electronic total energy   -3.3763 eV/atom

Lattice parameters (Å, degrees): 9.7858 9.7858 4.0732 90.00 90.00 90.00
With the nearest neighbours (Å) after each atom.
Element x y z (fractional)
Pm (0.8768, 0.3768, 0.0000)  1 Pm 3.41, 6 Ca 3.47-3.58
Pm (0.3768, 0.1232, 0.0000)  1 Pm 3.41, 6 Ca 3.47-3.58
Pm (0.1232, 0.6232, 0.0000)  1 Pm 3.41, 6 Ca 3.47-3.58
Pm (0.6232, 0.8768, 0.0000)  1 Pm 3.41, 6 Ca 3.47-3.58
Ac (0.0000, 0.0000, 0.0000)  4 Pm 3.88, 2 Ac 4.07, 8 Ca 4.15
Ac (0.5000, 0.5000, 0.0000)  4 Pm 3.88, 2 Ac 4.07, 8 Ca 4.15
Ca (0.8267, 0.6733, 0.5000)  6 Pm 3.47-3.58
Ca (0.3267, 0.8267, 0.5000)  6 Pm 3.47-3.58
Ca (0.6733, 0.1733, 0.5000)  6 Pm 3.47-3.58
Ca (0.1733, 0.3267, 0.5000)  6 Pm 3.47-3.58



7.
Material: MgTl
Method: DFT, PBE
State: optimized geometry

Values from the calculation:
Electronic total energy   -1.9965 eV/atom

Lattice parameters (Å, degrees): 6.0484 6.0484 7.8761 72.81 72.81 33.81
With the nearest neighbours (Å) after each atom.
Element x y z (fractional)
Mg (0.6097, 0.6097, 0.2656)  7 Tl 3.14-3.27, 2 Mg 3.36
Mg (0.6793, 0.6793, 0.6727)  7 Tl 3.14-3.24, 4 Mg 3.39-3.52
Mg (0.9827, 0.9827, 0.0068)  6 Tl 3.14-3.25, 4 Mg 3.36-3.39
Tl (0.9699, 0.9699, 0.6072)  6 Mg 3.16-3.24, 6 Tl 3.44-3.53
Tl (0.3276, 0.3276, 0.3381)  7 Mg 3.14-3.27, 1 Tl 3.41
Tl (0.2640, 0.2640, 0.9429)  7 Mg 3.14-3.25, 3 Tl 3.41-3.44



8.
Material: LaIrRu2
Method: DFT, PBE
State: optimized geometry

Values from the calculation:
Energy relative to the lowest polymorph listed for this composition   3 meV per atom
Electronic total energy   -7.9414 eV/atom

Lattice parameters (Å, degrees): 4.9105 4.9105 5.3572 79.61 79.61 35.26
With the nearest neighbours (Å) after each atom.
Element x y z (fractional)
Ir (0.7500, 0.7500, 0.7500)  6 Ru 2.68-2.85, 2 Ir 2.97
La (0.2500, 0.2500, 0.2500)  2 La 2.97, 6 Ru 3.01-3.10, 4 Ir 3.06
Ru (0.4846, 0.4846, 0.5632)  2 Ru 2.55, 3 Ir 2.68-2.85
Ru (0.0154, 0.0154, 0.9368)  2 Ru 2.55, 3 Ir 2.68-2.85



Among the records above, which one has the lowest electronic total energy?
LaIrRu2



The lowest electronic total energy belongs to which entry?
LaIrRu2



What is the electronic total energy in the second record?
-6.6946 eV/atom



electronic total energy of number 8 (LaIrRu2)?
-7.9414 eV/atom